The following is a PBE with a Hubbard U calculation of an optimized crystal structure of MnMoI2O, from Alexandria.

The final energy is -23.15 eV for the cell shown. For the energy above the most stable polymorph in this dataset, the calculation gives 102 meV/atom. Its total magnetization is 9.00 μB/cell. For the calculated density, the calculation gives 5.4 g/cm3.

It has space group P4/mmm (No. 123), with a = 5.846 Å, b = 5.846 Å, c = 3.760 Å, α = 90.00°, β = 90.00° and γ = 90.00°. The inequivalent atoms are Mn at (0.000, 0.000, 0.000), Mo at (0.500, 0.500, 0.500), I at (0.000, 0.500, 0.000) and O at (0.000, 0.000, 0.500).